Entry 1:
Compound: Tm2ScZn2In2
Source: the Alexandria database
Functional: PBE
Structure: relaxed Values from VASP.

Summary:
Crystal system ... trigonal

```
&SYSTEM
  ibrav = 0, nat = 7, ntyp = 4
/
ATOMIC_SPECIES
Tm 168.93 Tm.upf
Sc 44.96 Sc.upf
Zn 65.41 Zn.upf
In 114.82 In.upf
CELL_PARAMETERS angstrom
2.3252 1.3424 8.6835
-2.3252 1.3424 8.6835
0.0000 -2.6849 8.6835
ATOMIC_POSITIONS crystal
Tm 0.1265 0.1265 0.1265
Tm 0.8735 0.8735 0.8735
Sc 0.0000 0.0000 0.0000
Zn 0.3898 0.3898 0.3898
Zn 0.6102 0.6102 0.6102
In 0.2649 0.2649 0.2649
In 0.7351 0.7351 0.7351
```

***

Entry 2:
Compound: ScUIn
Source: the Alexandria database
Functional: PBE
Structure: relaxed Values from VASP.

Summary:
Crystal system ... monoclinic

```
&SYSTEM
  ibrav = 0, nat = 6, ntyp = 3
/
ATOMIC_SPECIES
Sc 44.96 Sc.upf
U 238.03 U.upf
In 114.82 In.upf
CELL_PARAMETERS angstrom
2.8765 -2.8749 0.0000
2.8765 2.8749 0.0000
-2.8701 0.0000 8.5622
ATOMIC_POSITIONS crystal
Sc 0.1778 0.1778 0.3569
Sc 0.8222 0.8222 0.6431
U 0.0000 0.5000 0.0000
U 0.5000 0.0000 0.0000
In 0.3560 0.3560 0.7108
In 0.6440 0.6440 0.2892
```

***

Quick rundown of D(E_F), same order as above: 3.3; 9.6 states/eV per cell
Quick rundown of energy of formation from the pure elements, same order as above: -220; -2 meV/atom